Below is an optimized crystal structure of Cr2S3, with properties calculated at the GGA-PBE level.

Structure (POSCAR):
```
Cr2S3
1.0
6.109 0.000 0.000
0.000 3.453 0.000
-2.024 0.000 8.482
Cr S
4 6
direct
0.140 0.250 0.157
0.268 0.250 0.518
0.732 0.750 0.482
0.860 0.750 0.843
0.040 0.750 0.346
0.225 0.750 0.003
0.486 0.750 0.660
0.514 0.250 0.340
0.775 0.250 0.997
0.960 0.250 0.654
```

## Properties
total magnetization: 12.0 Bohr magnetons per cell
formation energy without anion corrections: -66 kJ/mol of atoms
symmetry: P2_1/m, No. 11